1.
Density functional theory data (meta-GGA SCAN) for HfAlSiB2 at its PBEsol-relaxed geometry.

Cell lengths 4.348, 4.348, 5.145 Å; angles 90.00, 90.00, 90.00 degrees
Positions (direct):
1 Hf 0.000 0.000 0.000
2 Al 0.000 0.000 0.500
3 Si 0.500 0.500 0.500
4 B 0.000 0.500 0.000
5 B 0.500 0.000 0.000

Calculated values
ρ (g cm⁻³): 4.36
M_tot (μB per cell): 0.00
Uncorrected energy (eV per atom): -17.32
Symmetry: P4/mmm, No. 123

2.
Density functional theory data (meta-GGA SCAN) for AlHgB2 at its PBEsol-relaxed geometry.

Cell lengths 5.571, 5.571, 5.571 Å; angles 119.32, 119.32, 91.18 degrees
Positions (direct):
1 Al 0.000 0.000 0.000
2 Al 0.750 0.250 0.500
3 Hg 0.250 0.750 0.500
4 Hg 0.500 0.500 0.000
5 B 0.113 0.625 0.988
6 B 0.375 0.363 0.488
7 B 0.637 0.125 0.012
8 B 0.875 0.887 0.512

Calculated values
ρ (g cm⁻³): 6.70
M_tot (μB per cell): 0.00
Uncorrected energy (eV per atom): -21.54
Symmetry: I-42d, No. 122

3.
Density functional theory data (meta-GGA SCAN) for Al2BI at its PBEsol-relaxed geometry.

Cell lengths 6.633, 6.633, 6.633 Å; angles 128.29, 128.29, 76.16 degrees
Positions (direct):
1 Al 0.375 0.013 0.138
2 Al 0.763 0.625 0.638
3 Al 0.875 0.237 0.862
4 Al 0.987 0.125 0.362
5 B 0.000 0.000 0.000
6 B 0.750 0.250 0.500
7 I 0.250 0.750 0.500
8 I 0.500 0.500 0.000

Calculated values
ρ (g cm⁻³): 3.64
M_tot (μB per cell): 0.00
Uncorrected energy (eV per atom): -14.88
Symmetry: I-42d, No. 122

4.
Density functional theory data (meta-GGA SCAN) for AlBPt2I at its PBEsol-relaxed geometry.

Cell lengths 4.041, 4.041, 5.920 Å; angles 90.00, 90.00, 90.00 degrees
Positions (direct):
1 Al 0.000 0.000 0.000
2 B 0.500 0.500 0.500
3 Pt 0.000 0.500 0.500
4 Pt 0.500 0.000 0.500
5 I 0.500 0.500 0.000

Calculated values
ρ (g cm⁻³): 9.53
M_tot (μB per cell): 0.00
Uncorrected energy (eV per atom): -38.11
Symmetry: P4/mmm, No. 123

5.
Density functional theory data (meta-GGA SCAN) for AlBSb2I at its PBEsol-relaxed geometry.

Cell lengths 4.790, 4.790, 5.003 Å; angles 90.00, 90.00, 90.00 degrees
Positions (direct):
1 Al 0.000 0.000 0.000
2 B 0.500 0.500 0.500
3 Sb 0.000 0.500 0.500
4 Sb 0.500 0.000 0.500
5 I 0.500 0.500 0.000

Calculated values
ρ (g cm⁻³): 5.90
M_tot (μB per cell): 0.01
Uncorrected energy (eV per atom): -24.34
Symmetry: P4/mmm, No. 123

6.
Density functional theory data (meta-GGA SCAN) for Al2InB at its PBEsol-relaxed geometry.

Cell lengths 4.520, 4.520, 4.520 Å; angles 60.00, 60.00, 60.00 degrees
Positions (direct):
1 Al 0.250 0.250 0.250
2 Al 0.750 0.750 0.750
3 In 0.000 0.000 0.000
4 B 0.500 0.500 0.500

Calculated values
ρ (g cm⁻³): 4.57
M_tot (μB per cell): 0.00
Uncorrected energy (eV per atom): -13.21
Symmetry: Fm-3m, No. 225

7.
Density functional theory data (meta-GGA SCAN) for Al3BIr at its PBEsol-relaxed geometry.

Cell lengths 4.063, 4.063, 4.063 Å; angles 90.00, 90.00, 90.00 degrees
Positions (direct):
1 Al 0.000 0.000 0.500
2 Al 0.000 0.500 0.000
3 Al 0.500 0.000 0.000
4 B 0.000 0.000 0.000
5 Ir 0.500 0.500 0.500

Calculated values
ρ (g cm⁻³): 7.03
M_tot (μB per cell): 0.00
Uncorrected energy (eV per atom): -20.32
Symmetry: Pm-3m, No. 221

8.
Density functional theory data (meta-GGA SCAN) for Sc2AlB2Ir5 at its PBEsol-relaxed geometry.

Cell lengths 9.353, 9.353, 3.001 Å; angles 90.00, 90.00, 90.00 degrees
Positions (direct):
1 Sc 0.176 0.324 0.000
2 Sc 0.324 0.824 0.000
3 Sc 0.676 0.176 0.000
4 Sc 0.824 0.676 0.000
5 Al 0.000 0.000 0.000
6 Al 0.500 0.500 0.000
7 B 0.124 0.624 0.000
8 B 0.376 0.124 0.000
9 B 0.624 0.876 0.000
10 B 0.876 0.376 0.000
11 Ir 0.000 0.500 0.500
12 Ir 0.069 0.785 0.500
13 Ir 0.215 0.069 0.500
14 Ir 0.285 0.569 0.500
15 Ir 0.431 0.285 0.500
16 Ir 0.500 0.000 0.500
17 Ir 0.569 0.715 0.500
18 Ir 0.715 0.431 0.500
19 Ir 0.785 0.931 0.500
20 Ir 0.931 0.215 0.500

Calculated values
ρ (g cm⁻³): 13.91
M_tot (μB per cell): 0.00
Uncorrected energy (eV per atom): -41.78
Symmetry: P4/mbm, No. 127